[1]
Er7Pt2Pb2 | PBE-GGA | relaxed

Cell lengths 9.758, 9.758, 9.758 Å; angles 158.37, 66.93, 117.54 degrees
Fractional positions:
Er1 0.000 0.000 0.000
Er2 0.041 0.358 0.683
Er3 0.056 0.708 0.348
Er4 0.360 0.708 0.652
Er5 0.427 0.553 0.874
Er6 0.675 0.358 0.317
Er7 0.679 0.553 0.126
Pt1 0.291 0.050 0.241
Pt2 0.809 0.050 0.759
Pb1 0.314 0.314 0.000
Pb2 0.734 0.234 0.500

Summary:
Symmetry = Imm2, No. 44
E = -5.3881 eV per atom
Offset from the most stable computed form = 0 meV/atom
Total magnetic moment = 0.000 Bohr magnetons per cell

[2]
SiAgRu3 | PBE-GGA | relaxed

Cell lengths 4.404, 4.404, 4.404 Å; angles 90.00, 90.00, 90.00 degrees
Fractional positions:
Si1 0.000 0.000 0.000
Ag1 0.500 0.500 0.500
Ru1 0.000 0.000 0.500
Ru2 0.000 0.500 0.000
Ru3 0.500 0.000 0.000

Summary:
Symmetry = Pm-3m, No. 221
Uncorrected formation energy = 791 meV/atom
E = -6.4295 eV per atom
Offset from the most stable computed form = 0 meV/atom
Total magnetic moment = 2.161 Bohr magnetons per cell

[3]
Tb2Pr3Tl7 | PBE-GGA | relaxed

Cell lengths 12.420, 12.420, 5.711 Å; angles 90.00, 90.00, 154.48 degrees
Fractional positions:
Tb1 0.145 0.855 0.000
Tb2 0.855 0.145 0.000
Pr1 0.338 0.662 0.500
Pr2 0.500 0.500 0.500
Pr3 0.662 0.338 0.500
Tl1 0.000 0.000 0.000
Tl2 0.083 0.917 0.500
Tl3 0.276 0.724 0.000
Tl4 0.424 0.576 0.000
Tl5 0.576 0.424 0.000
Tl6 0.724 0.276 0.000
Tl7 0.917 0.083 0.500

Summary:
Symmetry = Cmmm, No. 65
E = -3.4854 eV per atom
Total magnetic moment = 0.001 Bohr magnetons per cell

[4]
IrAuSe | PBE-GGA | relaxed

Cell lengths 7.900, 7.613, 2.919 Å; angles 84.74, 73.67, 21.59 degrees
Fractional positions:
Ir1 0.000 0.000 0.000
Au1 0.663 0.663 0.337
Se1 0.363 0.363 0.637

Summary:
Symmetry = Fmm2, No. 42
Uncorrected formation energy = 418 meV/atom
E = -4.7899 eV per atom
Offset from the most stable computed form = 315 meV/atom
Total magnetic moment = 0.000 Bohr magnetons per cell

[5]
NdSc3Cd2 | PBE-GGA | relaxed

Cell lengths 7.961, 7.961, 8.568 Å; angles 115.33, 115.33, 38.58 degrees
Fractional positions:
Nd1 0.132 0.132 0.170
Nd2 0.868 0.868 0.830
Sc1 0.061 0.061 0.715
Sc2 0.302 0.302 0.005
Sc3 0.385 0.385 0.444
Sc4 0.615 0.615 0.556
Sc5 0.698 0.698 0.995
Sc6 0.939 0.939 0.285
Cd1 0.232 0.232 0.600
Cd2 0.486 0.486 0.822
Cd3 0.514 0.514 0.178
Cd4 0.768 0.768 0.400

Summary:
Symmetry = C2/m, No. 12
E = -4.3858 eV per atom
Offset from the most stable computed form = 49 meV/atom
Total magnetic moment = 0.005 Bohr magnetons per cell

[6]
YInAs3 | PBE-GGA | relaxed

Cell lengths 5.151, 5.151, 5.151 Å; angles 90.00, 90.00, 90.00 degrees
Fractional positions:
Y1 0.000 0.000 0.000
In1 0.500 0.500 0.500
As1 0.000 0.500 0.500
As2 0.500 0.000 0.500
As3 0.500 0.500 0.000

Summary:
Symmetry = Pm-3m, No. 221
E = -4.3045 eV per atom
Offset from the most stable computed form = 75 meV/atom
Total magnetic moment = 0.000 Bohr magnetons per cell

[7]
Mg2NiBiOs | PBE-GGA | relaxed

Cell lengths 5.319, 5.319, 4.997 Å; angles 90.00, 90.00, 90.00 degrees
Fractional positions:
Mg1 0.000 0.500 0.000
Mg2 0.500 0.000 0.000
Ni1 0.000 0.000 0.500
Bi1 0.500 0.500 0.000
Os1 0.500 0.500 0.500

Summary:
Symmetry = P4/mmm, No. 123
E = -3.1210 eV per atom
Total magnetic moment = 0.860 Bohr magnetons per cell

[8]
Tb6Pr8Tm | PBE-GGA | relaxed

Cell lengths 8.811, 8.811, 8.811 Å; angles 63.05, 63.05, 63.05 degrees
Fractional positions:
Tb1 0.040 0.747 0.596
Tb2 0.253 0.404 0.960
Tb3 0.404 0.960 0.253
Tb4 0.596 0.040 0.747
Tb5 0.747 0.596 0.040
Tb6 0.960 0.253 0.404
Pr1 0.078 0.078 0.078
Pr2 0.216 0.252 0.613
Pr3 0.252 0.613 0.216
Pr4 0.387 0.784 0.748
Pr5 0.613 0.216 0.252
Pr6 0.748 0.387 0.784
Pr7 0.784 0.748 0.387
Pr8 0.922 0.922 0.922
Tm1 0.500 0.500 0.500

Summary:
Symmetry = R-3, No. 148
E = -4.5795 eV per atom
Total magnetic moment = 0.000 Bohr magnetons per cell

[9]
RbSrIr2 | PBE-GGA | relaxed

Cell lengths 5.189, 5.189, 5.189 Å; angles 60.00, 60.00, 60.00 degrees
Fractional positions:
Rb1 0.000 0.000 0.000
Sr1 0.500 0.500 0.500
Ir1 0.250 0.250 0.250
Ir2 0.750 0.750 0.750

Summary:
Symmetry = Fm-3m, No. 225
E = -3.9765 eV per atom
Offset from the most stable computed form = 399 meV/atom
Total magnetic moment = 0.000 Bohr magnetons per cell

[10]
MnNbInS2 | PBE-GGA | relaxed

Cell lengths 4.851, 4.851, 4.909 Å; angles 90.00, 90.00, 90.00 degrees
Fractional positions:
Mn1 0.000 0.000 0.000
Nb1 0.500 0.500 0.000
In1 0.000 0.000 0.500
S1 0.000 0.500 0.500
S2 0.500 0.000 0.500

Summary:
Symmetry = P4/mmm, No. 123
Uncorrected formation energy = 1688 meV/atom
E = -4.3589 eV per atom
Total magnetic moment = 0.105 Bohr magnetons per cell

[11]
Na3Er2AlO6 | PBE-GGA | relaxed

Cell lengths 5.617, 5.617, 5.819 Å; angles 99.07, 99.07, 120.14 degrees
Fractional positions:
Na1 0.000 0.000 0.000
Na2 0.344 0.656 0.000
Na3 0.656 0.344 0.000
Er1 0.167 0.833 0.500
Er2 0.833 0.167 0.500
Al1 0.500 0.500 0.500
O1 0.132 0.434 0.297
O2 0.264 0.264 0.697
O3 0.434 0.132 0.297
O4 0.566 0.868 0.703
O5 0.736 0.736 0.303
O6 0.868 0.566 0.703

Summary:
Symmetry = C2/m, No. 12
Uncorrected formation energy = -2658 meV/atom
E = -6.5397 eV per atom
Total magnetic moment = 0.000 Bohr magnetons per cell

[12]
U2FeNi9 | PBE-GGA | relaxed

Cell lengths 8.538, 8.538, 8.538 Å; angles 32.47, 32.47, 32.47 degrees
Fractional positions:
U1 0.138 0.138 0.138
U2 0.862 0.862 0.862
Fe1 0.000 0.000 0.000
Ni1 0.082 0.583 0.583
Ni2 0.333 0.333 0.333
Ni3 0.417 0.417 0.918
Ni4 0.417 0.918 0.417
Ni5 0.500 0.500 0.500
Ni6 0.583 0.082 0.583
Ni7 0.583 0.583 0.082
Ni8 0.667 0.667 0.667
Ni9 0.918 0.417 0.417

Summary:
Symmetry = R-3m, No. 166
E = -6.9849 eV per atom
Offset from the most stable computed form = 21 meV/atom
Total magnetic moment = 6.567 Bohr magnetons per cell